# 1
# HoPa2Tc

Crystalline HoPa2Tc at its relaxed geometry (PBE, the Alexandria database).

Calculated values
Offset from the most stable computed form ... 87 meV per atom
ΔH_f (0 K) ... 0.15 eV per atom
Density of states at the Fermi level ... 1.717 states/eV per atom

```
data_HoPa2Tc
_cell_length_a 3.6938
_cell_length_b 3.6938
_cell_length_c 26.4731
_cell_angle_alpha 90.00
_cell_angle_beta 90.00
_cell_angle_gamma 120.00
_space_group_name_H-M_alt 'R -3 m'
_space_group_IT_number 166
_space_group_name_Hall '-R 3 2"'
loop_
_atom_site_label
_atom_site_type_symbol
_atom_site_fract_x
_atom_site_fract_y
_atom_site_fract_z
Ho1 Ho 0.0000 0.0000 0.0000
Pa1 Pa 0.0000 0.0000 0.2307
Tc1 Tc 0.0000 0.0000 0.5000
```


# 2
# Er2Zr8O19

Crystalline Er2Zr8O19 at its relaxed geometry (PBE, the Alexandria database).

Calculated values
Density of states at the Fermi level ... 0.000 states/eV per atom
Energy relative to the elements, uncorrected ... -3313 meV per atom

```
data_Er2Zr8O19
_cell_length_a 3.660
_cell_length_b 3.660
_cell_length_c 26.208
_cell_angle_alpha 90.00
_cell_angle_beta 90.00
_cell_angle_gamma 90.00
_space_group_name_H-M_alt 'P -4 m 2'
_space_group_IT_number 115
_space_group_name_Hall 'P -4 -2'
loop_
_atom_site_label
_atom_site_type_symbol
_atom_site_fract_x
_atom_site_fract_y
_atom_site_fract_z
Er1 Er 0.000 0.500 0.057
Zr1 Zr 0.000 0.500 0.253
Zr2 Zr 0.000 0.500 0.451
Zr3 Zr 0.000 0.500 0.648
Zr4 Zr 0.000 0.500 0.847
O1 O 0.000 0.000 0.000
O2 O 0.000 0.000 0.112
O3 O 0.000 0.000 0.212
O4 O 0.000 0.000 0.309
O5 O 0.000 0.000 0.405
O6 O 0.000 0.000 0.500
O7 O 0.500 0.500 0.095
O8 O 0.500 0.500 0.194
O9 O 0.500 0.500 0.295
O10 O 0.500 0.500 0.397
O11 O 0.500 0.500 0.500
```


# 3
# NaSnI4

Crystalline NaSnI4 at its relaxed geometry (PBE, the Alexandria database).

Calculated values
Offset from the most stable computed form ... 0 meV per atom
Density of states at the Fermi level ... 0.741 states/eV per atom
Energy relative to the elements, uncorrected ... -635 meV per atom

```
data_NaSnI4
_cell_length_a 7.324
_cell_length_b 4.408
_cell_length_c 7.855
_cell_angle_alpha 90.00
_cell_angle_beta 95.60
_cell_angle_gamma 90.00
_space_group_name_H-M_alt 'P 1 2/m 1'
_space_group_IT_number 10
_space_group_name_Hall '-P 2y'
loop_
_atom_site_label
_atom_site_type_symbol
_atom_site_fract_x
_atom_site_fract_y
_atom_site_fract_z
Na1 Na 0.000 0.000 0.000
Sn1 Sn 0.000 0.500 0.500
I1 I 0.243 0.000 0.359
I2 I 0.248 0.500 0.829
```


# 4
# CaAuSe2

Crystalline CaAuSe2 at its relaxed geometry (PBE, the Alexandria database).

Calculated values
Offset from the most stable computed form ... 71 meV per atom
Density of states at the Fermi level ... 0.224 states/eV per atom
Energy relative to the elements, uncorrected ... -836 meV per atom

```
data_CaAuSe2
_cell_length_a 4.006
_cell_length_b 3.729
_cell_length_c 6.822
_cell_angle_alpha 90.00
_cell_angle_beta 95.87
_cell_angle_gamma 90.00
_space_group_name_H-M_alt 'P 1 2/m 1'
_space_group_IT_number 10
_space_group_name_Hall '-P 2y'
loop_
_atom_site_label
_atom_site_type_symbol
_atom_site_fract_x
_atom_site_fract_y
_atom_site_fract_z
Ca1 Ca 0.000 0.000 0.000
Au1 Au 0.500 0.000 0.500
Se1 Se 0.486 0.500 0.769
```


# 5
# PrHo3Th2

Crystalline PrHo3Th2 at its relaxed geometry (PBE, the Alexandria database).

Calculated values
Offset from the most stable computed form ... 19 meV per atom
ΔH_f (0 K) ... 0.05 eV per atom
Density of states at the Fermi level ... 1.748 states/eV per atom

```
data_PrHo3Th2
_cell_length_a 21.984
_cell_length_b 3.592
_cell_length_c 11.659
_cell_angle_alpha 90.00
_cell_angle_beta 121.99
_cell_angle_gamma 90.00
_space_group_name_H-M_alt 'C 1 2/m 1'
_space_group_IT_number 12
_space_group_name_Hall '-C 2y'
loop_
_atom_site_label
_atom_site_type_symbol
_atom_site_fract_x
_atom_site_fract_y
_atom_site_fract_z
Pr1 Pr 0.108 0.000 0.235
Ho1 Ho 0.053 0.500 0.430
Ho2 Ho 0.112 0.000 0.732
Ho3 Ho 0.221 0.000 0.597
Th1 Th 0.062 0.500 0.932
Th2 Th 0.221 0.000 0.094
```


# 6
# NaLi2VAg

Crystalline NaLi2VAg at its relaxed geometry (PBE, the Alexandria database).

Calculated values
ΔH_f (0 K) ... 0.56 eV per atom
Density of states at the Fermi level ... 0.873 states/eV per atom

```
data_NaLi2VAg
_cell_length_a 4.973
_cell_length_b 4.973
_cell_length_c 5.199
_cell_angle_alpha 90.00
_cell_angle_beta 90.00
_cell_angle_gamma 90.00
_space_group_name_H-M_alt 'P 4/m m m'
_space_group_IT_number 123
_space_group_name_Hall '-P 4 2'
loop_
_atom_site_label
_atom_site_type_symbol
_atom_site_fract_x
_atom_site_fract_y
_atom_site_fract_z
Na1 Na 0.000 0.000 0.000
Li1 Li 0.000 0.500 0.500
V1 V 0.500 0.500 0.000
Ag1 Ag 0.500 0.500 0.500
```


# 7
# AsH3I

Crystalline AsH3I at its relaxed geometry (PBE, the Alexandria database).

Calculated values
Offset from the most stable computed form ... 32 meV per atom
Density of states at the Fermi level ... 0.064 states/eV per atom

```
data_AsH3I
_cell_length_a 7.2304
_cell_length_b 7.2304
_cell_length_c 12.8609
_cell_angle_alpha 90.00
_cell_angle_beta 90.00
_cell_angle_gamma 120.00
_space_group_name_H-M_alt 'R 3 c'
_space_group_IT_number 161
_space_group_name_Hall 'R 3 -2"c'
loop_
_atom_site_label
_atom_site_type_symbol
_atom_site_fract_x
_atom_site_fract_y
_atom_site_fract_z
As1 As 0.0000 0.0000 0.0000
H1 H 0.1069 0.2172 0.4444
I1 I 0.0000 0.0000 0.2333
```


# 8
# Zn2AgPt

Crystalline Zn2AgPt at its relaxed geometry (PBE, the Alexandria database).

Calculated values
ΔH_f (0 K) ... -0.23 eV per atom
Density of states at the Fermi level ... 0.321 states/eV per atom

```
data_Zn2AgPt
_cell_length_a 4.631
_cell_length_b 2.877
_cell_length_c 5.061
_cell_angle_alpha 90.00
_cell_angle_beta 112.14
_cell_angle_gamma 90.00
_space_group_name_H-M_alt 'P 1 2/m 1'
_space_group_IT_number 10
_space_group_name_Hall '-P 2y'
loop_
_atom_site_label
_atom_site_type_symbol
_atom_site_fract_x
_atom_site_fract_y
_atom_site_fract_z
Zn1 Zn 0.000 0.000 0.000
Zn2 Zn 0.000 0.500 0.500
Ag1 Ag 0.500 0.000 0.500
Pt1 Pt 0.500 0.500 0.000
```


# 9
# Na2Tl5Pb2

Crystalline Na2Tl5Pb2 at its relaxed geometry (PBE, the Alexandria database).

Calculated values
Offset from the most stable computed form ... 0 meV per atom
ΔH_f (0 K) ... -0.07 eV per atom
Density of states at the Fermi level ... 0.454 states/eV per atom

```
data_Na2Tl5Pb2
_cell_length_a 4.640
_cell_length_b 7.904
_cell_length_c 8.067
_cell_angle_alpha 107.81
_cell_angle_beta 90.16
_cell_angle_gamma 106.93
_space_group_name_H-M_alt 'P -1'
_space_group_IT_number 2
_space_group_name_Hall '-P 1'
loop_
_atom_site_label
_atom_site_type_symbol
_atom_site_fract_x
_atom_site_fract_y
_atom_site_fract_z
Na1 Na 0.112 0.226 0.175
Tl1 Tl 0.000 0.000 0.500
Tl2 Tl 0.334 0.664 0.502
Tl3 Tl 0.439 0.884 0.157
Pb1 Pb 0.220 0.439 0.839
```


# 10
# KYPb

Crystalline KYPb at its relaxed geometry (PBE, the Alexandria database).

Calculated values
Offset from the most stable computed form ... 75 meV per atom
ΔH_f (0 K) ... -0.21 eV per atom
Density of states at the Fermi level ... 0.723 states/eV per atom

```
data_KYPb
_cell_length_a 4.332
_cell_length_b 4.579
_cell_length_c 13.425
_cell_angle_alpha 99.61
_cell_angle_beta 98.71
_cell_angle_gamma 90.00
_space_group_name_H-M_alt 'P 1'
_space_group_IT_number 1
_space_group_name_Hall 'P 1'
loop_
_atom_site_label
_atom_site_type_symbol
_atom_site_fract_x
_atom_site_fract_y
_atom_site_fract_z
K1 K 0.000 0.000 0.000
K2 K 0.363 0.361 0.725
Y1 Y 0.238 0.734 0.469
Y2 Y 0.638 0.630 0.257
Pb1 Pb 0.143 0.135 0.268
Pb2 Pb 0.743 0.239 0.479
```


# 11
# TmZnCdPd

Crystalline TmZnCdPd at its relaxed geometry (PBE, the Alexandria database).

Calculated values
ΔH_f (0 K) ... -0.49 eV per atom
Density of states at the Fermi level ... 0.634 states/eV per atom

```
data_TmZnCdPd
_cell_length_a 6.754
_cell_length_b 6.754
_cell_length_c 6.754
_cell_angle_alpha 90.00
_cell_angle_beta 90.00
_cell_angle_gamma 90.00
_space_group_name_H-M_alt 'F -4 3 m'
_space_group_IT_number 216
_space_group_name_Hall 'F -4 2 3'
loop_
_atom_site_label
_atom_site_type_symbol
_atom_site_fract_x
_atom_site_fract_y
_atom_site_fract_z
Tm1 Tm 0.000 0.000 0.000
Zn1 Zn 0.250 0.250 0.250
Cd1 Cd 0.000 0.000 0.500
Pd1 Pd 0.250 0.250 0.750
```


# 12
# Er8Zn3Se4S

Crystalline Er8Zn3Se4S at its relaxed geometry (PBE, the Alexandria database).

Calculated values
Density of states at the Fermi level ... 0.555 states/eV per atom
Energy relative to the elements, uncorrected ... -1180 meV per atom

```
data_Er8Zn3Se4S
_cell_length_a 7.9359
_cell_length_b 7.9359
_cell_length_c 20.6161
_cell_angle_alpha 90.00
_cell_angle_beta 90.00
_cell_angle_gamma 120.00
_space_group_name_H-M_alt 'R -3 m'
_space_group_IT_number 166
_space_group_name_Hall '-R 3 2"'
loop_
_atom_site_label
_atom_site_type_symbol
_atom_site_fract_x
_atom_site_fract_y
_atom_site_fract_z
Er1 Er 0.0000 0.0000 0.2491
Er2 Er 0.0033 0.5016 0.7478
Zn1 Zn 0.0000 0.5000 0.0000
Se1 Se 0.0000 0.0000 0.5000
Se2 Se 0.0000 0.5000 0.5000
S1 S 0.0000 0.0000 0.0000
```


# 13
# V2NiTe4

Crystalline V2NiTe4 at its relaxed geometry (PBE, the Alexandria database).

Calculated values
Offset from the most stable computed form ... 532 meV per atom
Density of states at the Fermi level ... 1.000 states/eV per atom
Energy relative to the elements, uncorrected ... 280 meV per atom

```
data_V2NiTe4
_cell_length_a 5.234
_cell_length_b 5.234
_cell_length_c 12.957
_cell_angle_alpha 90.00
_cell_angle_beta 90.00
_cell_angle_gamma 90.00
_space_group_name_H-M_alt 'I 4/m m m'
_space_group_IT_number 139
_space_group_name_Hall '-I 4 2'
loop_
_atom_site_label
_atom_site_type_symbol
_atom_site_fract_x
_atom_site_fract_y
_atom_site_fract_z
V1 V 0.000 0.000 0.104
Ni1 Ni 0.000 0.000 0.500
Te1 Te 0.000 0.000 0.300
Te2 Te 0.000 0.500 0.000
```


# 14
# DyErSi3

Crystalline DyErSi3 at its relaxed geometry (PBE, the Alexandria database).

Calculated values
Density of states at the Fermi level ... 0.347 states/eV per atom
Energy relative to the elements, uncorrected ... -670 meV per atom

```
data_DyErSi3
_cell_length_a 4.103
_cell_length_b 24.467
_cell_length_c 3.929
_cell_angle_alpha 90.00
_cell_angle_beta 90.00
_cell_angle_gamma 90.00
_space_group_name_H-M_alt 'C m c m'
_space_group_IT_number 63
_space_group_name_Hall '-C 2c 2'
loop_
_atom_site_label
_atom_site_type_symbol
_atom_site_fract_x
_atom_site_fract_y
_atom_site_fract_z
Dy1 Dy 0.000 0.070 0.250
Er1 Er 0.000 0.203 0.750
Si1 Si 0.000 0.322 0.750
Si2 Si 0.000 0.380 0.250
Si3 Si 0.000 0.475 0.250
```


# 15
# BaCd3Au3

Crystalline BaCd3Au3 at its relaxed geometry (PBE, the Alexandria database).

Calculated values
Offset from the most stable computed form ... 0 meV per atom
ΔH_f (0 K) ... -0.33 eV per atom
Density of states at the Fermi level ... 0.553 states/eV per atom

```
data_BaCd3Au3
_cell_length_a 9.404
_cell_length_b 4.572
_cell_length_c 9.405
_cell_angle_alpha 90.00
_cell_angle_beta 119.95
_cell_angle_gamma 90.00
_space_group_name_H-M_alt 'P 1 21/m 1'
_space_group_IT_number 11
_space_group_name_Hall '-P 2yb'
loop_
_atom_site_label
_atom_site_type_symbol
_atom_site_fract_x
_atom_site_fract_y
_atom_site_fract_z
Ba1 Ba 0.167 0.250 0.333
Cd1 Cd 0.251 0.250 0.967
Cd2 Cd 0.284 0.750 0.751
Cd3 Cd 0.467 0.750 0.216
Au1 Au 0.068 0.250 0.613
Au2 Au 0.113 0.750 0.045
Au3 Au 0.455 0.750 0.568
```


# 16
# AcLaIn2Se4

Crystalline AcLaIn2Se4 at its relaxed geometry (PBE, the Alexandria database).

Calculated values
Energy relative to the elements, uncorrected ... -1349 meV per atom

```
data_AcLaIn2Se4
_cell_length_a 7.752
_cell_length_b 4.477
_cell_length_c 8.094
_cell_angle_alpha 90.00
_cell_angle_beta 108.60
_cell_angle_gamma 90.00
_space_group_name_H-M_alt 'P 1 2/m 1'
_space_group_IT_number 10
_space_group_name_Hall '-P 2y'
loop_
_atom_site_label
_atom_site_type_symbol
_atom_site_fract_x
_atom_site_fract_y
_atom_site_fract_z
Ac1 Ac 0.000 0.000 0.000
La1 La 0.500 0.500 0.000
In1 In 0.000 0.500 0.500
In2 In 0.500 0.000 0.500
Se1 Se 0.247 0.500 0.220
Se2 Se 0.268 0.000 0.784
```


# 17
# ErZn11Ga

Crystalline ErZn11Ga at its relaxed geometry (PBE, the Alexandria database).

Calculated values
ΔH_f (0 K) ... -0.15 eV per atom
Density of states at the Fermi level ... 0.189 states/eV per atom

```
data_ErZn11Ga
_cell_length_a 5.253
_cell_length_b 12.543
_cell_length_c 6.785
_cell_angle_alpha 90.00
_cell_angle_beta 112.58
_cell_angle_gamma 90.00
_space_group_name_H-M_alt 'C 1 2/m 1'
_space_group_IT_number 12
_space_group_name_Hall '-C 2y'
loop_
_atom_site_label
_atom_site_type_symbol
_atom_site_fract_x
_atom_site_fract_y
_atom_site_fract_z
Er1 Er 0.000 0.000 0.000
Zn1 Zn 0.000 0.000 0.500
Zn2 Zn 0.112 0.392 0.213
Zn3 Zn 0.169 0.179 0.353
Zn4 Zn 0.250 0.250 0.000
Ga1 Ga 0.000 0.500 0.500
```


# 18
# ZrTcBiIr2

Crystalline ZrTcBiIr2 at its relaxed geometry (PBE, the Alexandria database).

Calculated values
ΔH_f (0 K) ... 1.39 eV per atom
Density of states at the Fermi level ... 1.049 states/eV per atom

```
data_ZrTcBiIr2
_cell_length_a 4.934
_cell_length_b 4.934
_cell_length_c 4.858
_cell_angle_alpha 90.00
_cell_angle_beta 90.00
_cell_angle_gamma 90.00
_space_group_name_H-M_alt 'P 4/m m m'
_space_group_IT_number 123
_space_group_name_Hall '-P 4 2'
loop_
_atom_site_label
_atom_site_type_symbol
_atom_site_fract_x
_atom_site_fract_y
_atom_site_fract_z
Zr1 Zr 0.000 0.000 0.000
Tc1 Tc 0.000 0.000 0.500
Bi1 Bi 0.500 0.500 0.500
Ir1 Ir 0.000 0.500 0.000
```


# 19
# AcTb2Nd6Sm3

Crystalline AcTb2Nd6Sm3 at its relaxed geometry (PBE, the Alexandria database).

Calculated values
ΔH_f (0 K) ... 0.02 eV per atom
Density of states at the Fermi level ... 1.467 states/eV per atom

```
data_AcTb2Nd6Sm3
_cell_length_a 6.366
_cell_length_b 11.019
_cell_length_c 12.192
_cell_angle_alpha 90.00
_cell_angle_beta 100.04
_cell_angle_gamma 90.00
_space_group_name_H-M_alt 'C 1 2/m 1'
_space_group_IT_number 12
_space_group_name_Hall '-C 2y'
loop_
_atom_site_label
_atom_site_type_symbol
_atom_site_fract_x
_atom_site_fract_y
_atom_site_fract_z
Ac1 Ac 0.000 0.000 0.000
Tb1 Tb 0.000 0.333 0.000
Nd1 Nd 0.247 0.332 0.748
Nd2 Nd 0.248 0.500 0.253
Sm1 Sm 0.000 0.167 0.500
Sm2 Sm 0.000 0.500 0.500
```


# 20
# CsTlPdPb2

Crystalline CsTlPdPb2 at its relaxed geometry (PBE, the Alexandria database).

Calculated values
ΔH_f (0 K) ... 0.02 eV per atom
Density of states at the Fermi level ... 1.136 states/eV per atom

```
data_CsTlPdPb2
_cell_length_a 5.600
_cell_length_b 5.600
_cell_length_c 5.562
_cell_angle_alpha 90.00
_cell_angle_beta 90.00
_cell_angle_gamma 90.00
_space_group_name_H-M_alt 'P 4/m m m'
_space_group_IT_number 123
_space_group_name_Hall '-P 4 2'
loop_
_atom_site_label
_atom_site_type_symbol
_atom_site_fract_x
_atom_site_fract_y
_atom_site_fract_z
Cs1 Cs 0.000 0.000 0.000
Tl1 Tl 0.500 0.500 0.000
Pd1 Pd 0.500 0.500 0.500
Pb1 Pb 0.000 0.500 0.500
```


Record order is preserved below.
Energy: -8.333; -9.235; -2.556; -3.898; -5.510; -2.861; -3.129; -3.092; -2.503; -3.971; -3.457; -4.830; -4.946; -5.756; -2.401; -4.906; -1.810; -6.710; -4.655; -3.147 eV/atom